Arrangement 1

Density functional theory data (PBE) for a relaxed structure of SrTl4Hg.

Structure (CIF):
```
data_SrTl4Hg
_space_group_name_H-M_alt 'P 1 21/m 1'
_space_group_IT_number 11
_cell_length_a 5.717
_cell_length_b 7.383
_cell_length_c 8.804
_cell_angle_alpha 90.00
_cell_angle_beta 95.92
_cell_angle_gamma 90.00
loop_
_space_group_symop_operation_xyz
'x,y,z'
'-x,-y,-z'
'-x,y+1/2,-z'
'x,-y+1/2,z'
loop_
_atom_site_label
_atom_site_type_symbol
_atom_site_fract_x
_atom_site_fract_y
_atom_site_fract_z
Sr1 Sr 0.108 0.250 0.349
Tl1 Tl 0.000 0.000 0.000
Tl2 Tl 0.391 0.024 0.682
Tl3 Tl 0.495 0.750 0.985
Hg1 Hg 0.127 0.750 0.320
```

Calculated values
Volume, A^3/atom: 30.8

---

Arrangement 2

Density functional theory data (PBE) for a relaxed structure of SrTl4Hg.

Structure (CIF):
```
data_SrTl4Hg
_space_group_name_H-M_alt 'C 1 2/c 1'
_space_group_IT_number 15
_cell_length_a 6.759
_cell_length_b 19.453
_cell_length_c 5.699
_cell_angle_alpha 90.00
_cell_angle_beta 98.46
_cell_angle_gamma 90.00
loop_
_space_group_symop_operation_xyz
'x,y,z'
'-x,-y,-z'
'-x,y,-z+1/2'
'x,-y,z+1/2'
'x+1/2,y+1/2,z'
'-x+1/2,-y+1/2,-z'
'-x+1/2,y+1/2,-z+1/2'
'x+1/2,-y+1/2,z+1/2'
loop_
_atom_site_label
_atom_site_type_symbol
_atom_site_fract_x
_atom_site_fract_y
_atom_site_fract_z
Sr1 Sr 0.000 0.121 0.250
Tl1 Tl 0.234 0.458 0.209
Tl2 Tl 0.243 0.291 0.242
Hg1 Hg 0.000 0.371 0.750
```

Calculated values
Volume, A^3/atom: 30.9

---

Relative energies with respect to the most stable structure, expressed in meV/atom: arrangement 1 0; arrangement 2 13.

---

Arrangement 1

Density functional theory data (PBE) for a relaxed structure of SrTl2Hg5.

Structure (CIF):
```
data_SrTl2Hg5
_space_group_name_H-M_alt 'I 4/m c m'
_space_group_IT_number 140
_space_group_name_Hall '-I 4 2c'
_cell_length_a 8.432
_cell_length_b 8.432
_cell_length_c 13.349
_cell_angle_alpha 90.00
_cell_angle_beta 90.00
_cell_angle_gamma 90.00
loop_
_atom_site_label
_atom_site_type_symbol
_atom_site_fract_x
_atom_site_fract_y
_atom_site_fract_z
Sr1 Sr 0.000 0.000 0.250
Tl1 Tl 0.156 0.344 0.000
Hg1 Hg 0.000 0.000 0.000
Hg2 Hg 0.144 0.356 0.332
```

Calculated values
Volume, A^3/atom: 29.7

---

Arrangement 2

Density functional theory data (PBE) for a relaxed structure of SrTl2Hg5.

Structure (CIF):
```
data_SrTl2Hg5
_space_group_name_H-M_alt 'I 4/m m m'
_space_group_IT_number 139
_space_group_name_Hall '-I 4 2'
_cell_length_a 4.952
_cell_length_b 4.952
_cell_length_c 18.601
_cell_angle_alpha 90.00
_cell_angle_beta 90.00
_cell_angle_gamma 90.00
loop_
_atom_site_label
_atom_site_type_symbol
_atom_site_fract_x
_atom_site_fract_y
_atom_site_fract_z
Sr1 Sr 0.000 0.000 0.000
Tl1 Tl 0.000 0.000 0.248
Hg1 Hg 0.000 0.000 0.500
Hg2 Hg 0.000 0.500 0.126
```

Calculated values
Volume, A^3/atom: 28.5

---

Relative energies with respect to the most stable structure, expressed in meV/atom: arrangement 1 46; arrangement 2 0.

---

Arrangement 1

Density functional theory data (PBE) for a relaxed structure of SrHg3W.

Structure (CIF):
```
data_SrHg3W
_space_group_name_H-M_alt 'P m -3 m'
_space_group_IT_number 221
_space_group_name_Hall '-P 4 2 3'
_cell_length_a 6.066
_cell_length_b 6.066
_cell_length_c 6.066
_cell_angle_alpha 90.00
_cell_angle_beta 90.00
_cell_angle_gamma 90.00
loop_
_atom_site_label
_atom_site_type_symbol
_atom_site_fract_x
_atom_site_fract_y
_atom_site_fract_z
Sr1 Sr 0.000 0.000 0.000
Hg1 Hg 0.000 0.000 0.500
W1 W 0.500 0.500 0.500
```

Calculated values
Volume, A^3/atom: 44.7

---

Arrangement 2

Density functional theory data (PBE) for a relaxed structure of SrHg3W.

Structure (CIF):
```
data_SrHg3W
_space_group_name_H-M_alt 'P m -3 m'
_space_group_IT_number 221
_space_group_name_Hall '-P 4 2 3'
_cell_length_a 5.309
_cell_length_b 5.309
_cell_length_c 5.309
_cell_angle_alpha 90.00
_cell_angle_beta 90.00
_cell_angle_gamma 90.00
loop_
_atom_site_label
_atom_site_type_symbol
_atom_site_fract_x
_atom_site_fract_y
_atom_site_fract_z
Sr1 Sr 0.000 0.000 0.000
Hg1 Hg 0.000 0.500 0.500
W1 W 0.500 0.500 0.500
```

Calculated values
Volume, A^3/atom: 29.9

---

Relative energies with respect to the most stable structure, expressed in meV/atom: arrangement 1 1111; arrangement 2 0.

---

Arrangement 1

Density functional theory data (PBE) for a relaxed structure of Sr3HgW.

Structure (CIF):
```
data_Sr3HgW
_space_group_name_H-M_alt 'P m -3 m'
_space_group_IT_number 221
_space_group_name_Hall '-P 4 2 3'
_cell_length_a 6.090
_cell_length_b 6.090
_cell_length_c 6.090
_cell_angle_alpha 90.00
_cell_angle_beta 90.00
_cell_angle_gamma 90.00
loop_
_atom_site_label
_atom_site_type_symbol
_atom_site_fract_x
_atom_site_fract_y
_atom_site_fract_z
Sr1 Sr 0.000 0.000 0.500
Hg1 Hg 0.000 0.000 0.000
W1 W 0.500 0.500 0.500
```

Calculated values
Volume, A^3/atom: 45.2

---

Arrangement 2

Density functional theory data (PBE) for a relaxed structure of Sr3HgW.

Structure (CIF):
```
data_Sr3HgW
_space_group_name_H-M_alt 'P m -3 m'
_space_group_IT_number 221
_space_group_name_Hall '-P 4 2 3'
_cell_length_a 5.839
_cell_length_b 5.839
_cell_length_c 5.839
_cell_angle_alpha 90.00
_cell_angle_beta 90.00
_cell_angle_gamma 90.00
loop_
_atom_site_label
_atom_site_type_symbol
_atom_site_fract_x
_atom_site_fract_y
_atom_site_fract_z
Sr1 Sr 0.000 0.000 0.500
Hg1 Hg 0.500 0.500 0.500
W1 W 0.000 0.000 0.000
```

Calculated values
Volume, A^3/atom: 39.8

---

Relative energies with respect to the most stable structure, expressed in meV/atom: arrangement 1 175; arrangement 2 0.

---

Arrangement 1

Density functional theory data (PBE) for a relaxed structure of SrYHg.

Structure (CIF):
```
data_SrYHg
_space_group_name_H-M_alt 'F -4 3 m'
_space_group_IT_number 216
_space_group_name_Hall 'F -4 2 3'
_cell_length_a 7.541
_cell_length_b 7.541
_cell_length_c 7.541
_cell_angle_alpha 90.00
_cell_angle_beta 90.00
_cell_angle_gamma 90.00
loop_
_atom_site_label
_atom_site_type_symbol
_atom_site_fract_x
_atom_site_fract_y
_atom_site_fract_z
Sr1 Sr 0.000 0.000 0.000
Y1 Y 0.000 0.000 0.500
Hg1 Hg 0.250 0.250 0.750
```

Calculated values
Volume, A^3/atom: 35.7

---

Arrangement 2

Density functional theory data (PBE) for a relaxed structure of SrYHg.

Structure (CIF):
```
data_SrYHg
_space_group_name_H-M_alt 'I 4 m m'
_space_group_IT_number 107
_space_group_name_Hall 'I 4 -2'
_cell_length_a 3.865
_cell_length_b 3.865
_cell_length_c 13.527
_cell_angle_alpha 90.00
_cell_angle_beta 90.00
_cell_angle_gamma 90.00
loop_
_atom_site_label
_atom_site_type_symbol
_atom_site_fract_x
_atom_site_fract_y
_atom_site_fract_z
Sr1 Sr 0.000 0.000 0.000
Y1 Y 0.000 0.000 0.724
Hg1 Hg 0.000 0.000 0.334
```

Calculated values
Volume, A^3/atom: 33.7

---

Relative energies with respect to the most stable structure, expressed in meV/atom: arrangement 1 190; arrangement 2 0.

---

Arrangement 1

Density functional theory data (PBE) for a relaxed structure of SrY2Hg2.

Structure (CIF):
```
data_SrY2Hg2
_space_group_name_H-M_alt 'I 4/m m m'
_space_group_IT_number 139
_space_group_name_Hall '-I 4 2'
_cell_length_a 4.781
_cell_length_b 4.781
_cell_length_c 13.980
_cell_angle_alpha 90.00
_cell_angle_beta 90.00
_cell_angle_gamma 90.00
loop_
_atom_site_label
_atom_site_type_symbol
_atom_site_fract_x
_atom_site_fract_y
_atom_site_fract_z
Sr1 Sr 0.000 0.000 0.000
Y1 Y 0.000 0.500 0.250
Hg1 Hg 0.000 0.000 0.397
```

Calculated values
Volume, A^3/atom: 32.0

---

Arrangement 2

Density functional theory data (PBE) for a relaxed structure of SrY2Hg2.

Structure (CIF):
```
data_SrY2Hg2
_space_group_name_H-M_alt 'I 4/m m m'
_space_group_IT_number 139
_space_group_name_Hall '-I 4 2'
_cell_length_a 5.514
_cell_length_b 5.514
_cell_length_c 11.447
_cell_angle_alpha 90.00
_cell_angle_beta 90.00
_cell_angle_gamma 90.00
loop_
_atom_site_label
_atom_site_type_symbol
_atom_site_fract_x
_atom_site_fract_y
_atom_site_fract_z
Sr1 Sr 0.000 0.000 0.000
Y1 Y 0.000 0.000 0.348
Hg1 Hg 0.000 0.500 0.250
```

Calculated values
Volume, A^3/atom: 34.8

---

Arrangement 3

Density functional theory data (PBE) for a relaxed structure of SrY2Hg2.

Structure (CIF):
```
data_SrY2Hg2
_space_group_name_H-M_alt 'P 4/m b m'
_space_group_IT_number 127
_space_group_name_Hall '-P 4 2ab'
_cell_length_a 8.805
_cell_length_b 8.805
_cell_length_c 3.840
_cell_angle_alpha 90.00
_cell_angle_beta 90.00
_cell_angle_gamma 90.00
loop_
_atom_site_label
_atom_site_type_symbol
_atom_site_fract_x
_atom_site_fract_y
_atom_site_fract_z
Sr1 Sr 0.000 0.000 0.000
Y1 Y 0.159 0.341 0.500
Hg1 Hg 0.136 0.636 0.000
```

Calculated values
Volume, A^3/atom: 29.8

---

Relative energies with respect to the most stable structure, expressed in meV/atom: arrangement 1 91; arrangement 2 200; arrangement 3 0.